A PBEsol-optimized structure of LaYSi2, computed with SCAN.

Structure (extended XYZ):
```
4
Lattice="3.5446 0.0000 0.0000 0.0000 4.8026 0.0000 0.0000 0.0000 5.9084" Properties=species:S:1:pos:R:3 pbc="T T T"
La 0.0000 0.0000 0.0000
Y 1.7723 2.4013 2.9542
Si 0.0000 0.0000 2.9542
Si 1.7723 2.4013 0.0000
```

## Properties
The excess energy over the best structure of this formula in the dataset comes out at 0.341 eV/atom. As for the formation energy without anion corrections: -0.46 eV/atom. As for the density of states at the Fermi level: 2.8 states/eV/f.u. As for the size of the total moment: 0.00 μB/f.u. Its space-group type is Pmmm. The crystal system is orthorhombic. The value obtained for the theoretical density is 4.7 g/cm³.